# PBE KNp2HgCl8, relaxed
data_KNp2HgCl8
_cell_length_a 7.7685
_cell_length_b 7.7685
_cell_length_c 7.6613
_cell_angle_alpha 90.00
_cell_angle_beta 90.00
_cell_angle_gamma 120.00
_space_group_name_H-M_alt 'P -3'
_space_group_IT_number 147
loop_
_space_group_symop_operation_xyz
'x,y,z'
'-x,-y,-z'
'-y,x-y,z'
'y,-x+y,-z'
'-x+y,-x,z'
'x-y,x,-z'
loop_
_atom_site_label
_atom_site_fract_x
_atom_site_fract_y
_atom_site_fract_z
K1 0.0000 0.0000 0.0000
Np1 0.3333 0.6667 0.4263
Hg1 0.0000 0.0000 0.5000
Cl1 0.0507 0.4103 0.6654
Cl2 0.3333 0.6667 0.0901
# - formation energy from raw total energies (eV per atom) = -1.48

=====

# PBE Cu2Ag2I, relaxed
data_Cu2Ag2I
_cell_length_a 3.685
_cell_length_b 3.685
_cell_length_c 15.068
_cell_angle_alpha 90.00
_cell_angle_beta 90.00
_cell_angle_gamma 90.00
_space_group_name_H-M_alt 'I 4/m m m'
_space_group_IT_number 139
_space_group_name_Hall '-I 4 2'
loop_
_atom_site_label
_atom_site_fract_x
_atom_site_fract_y
_atom_site_fract_z
Cu1 0.000 0.500 0.250
Ag1 0.000 0.000 0.120
I1 0.000 0.000 0.500
# - formation energy from raw total energies (eV per atom) = 0.27

=====

# PBE SmIn2Au, relaxed
data_SmIn2Au
_cell_length_a 3.4810
_cell_length_b 3.4810
_cell_length_c 31.9024
_cell_angle_alpha 90.00
_cell_angle_beta 90.00
_cell_angle_gamma 120.00
_space_group_name_H-M_alt 'R -3 m'
_space_group_IT_number 166
_space_group_name_Hall '-R 3 2"'
loop_
_atom_site_label
_atom_site_fract_x
_atom_site_fract_y
_atom_site_fract_z
Sm1 0.0000 0.0000 0.0000
In1 0.0000 0.0000 0.1008
Au1 0.0000 0.0000 0.5000
# - energy of formation from the pure elements (eV/f.u.) = 0.1

=====

# PBE TbPr2Sm4Ho2, relaxed
data_TbPr2Sm4Ho2
_cell_length_a 6.253
_cell_length_b 6.267
_cell_length_c 8.093
_cell_angle_alpha 82.66
_cell_angle_beta 75.10
_cell_angle_gamma 80.41
_space_group_name_H-M_alt 'P -1'
_space_group_IT_number 2
loop_
_space_group_symop_operation_xyz
'x,y,z'
'-x,-y,-z'
loop_
_atom_site_label
_atom_site_fract_x
_atom_site_fract_y
_atom_site_fract_z
Tb1 0.000 0.000 0.000
Pr1 0.332 0.669 0.667
Sm1 0.222 0.446 0.112
Sm2 0.444 0.890 0.222
Ho1 0.109 0.223 0.555
# - energy of formation from the pure elements (eV/f.u.) = 0.1

=====

# PBE InSb4Br, relaxed
data_InSb4Br
_cell_length_a 9.348
_cell_length_b 9.348
_cell_length_c 9.348
_cell_angle_alpha 90.00
_cell_angle_beta 90.00
_cell_angle_gamma 90.00
_space_group_name_H-M_alt 'F -4 3 m'
_space_group_IT_number 216
_space_group_name_Hall 'F -4 2 3'
loop_
_atom_site_label
_atom_site_fract_x
_atom_site_fract_y
_atom_site_fract_z
In1 0.000 0.000 0.000
Sb1 0.109 0.109 0.609
Br1 0.250 0.250 0.250
# - formation energy from raw total energies (eV per atom) = 0.05